ZrFeRu after structural relaxation. Source: Alexandria via LeMat-Bulk, functional PBE.

Properties
Density of states at the Fermi level, states/eV/cell: 7.0
Formation energy, eV per atom: 0.04
Space group: No. 107

```
ZrFeRu
1.0
2.818 0.000 0.000
0.000 2.818 0.000
0.000 0.000 11.583
Zr Fe Ru
2 2 2
direct
0.000 0.000 0.000 Zr
0.500 0.500 0.500 Zr
0.000 0.000 0.679 Fe
0.500 0.500 0.179 Fe
0.000 0.000 0.305 Ru
0.500 0.500 0.805 Ru
```

***

ZrFe2Ru2 after structural relaxation. Source: Alexandria via LeMat-Bulk, functional PBE.

Properties
Density of states at the Fermi level, states/eV/cell: 11.7
Energy above the lowest structure with this stoichiometry, meV/atom: 0.0
Formation energy, eV per atom: 0.00
Space group: No. 139

```
ZrFe2Ru2
1.0
3.877 0.000 0.000
0.000 3.877 0.000
0.000 0.000 9.911
Zr Fe Ru
2 4 4
direct
0.000 0.000 0.000 Zr
0.500 0.500 0.500 Zr
0.000 0.000 0.398 Fe
0.000 0.000 0.602 Fe
0.500 0.500 0.102 Fe
0.500 0.500 0.898 Fe
0.000 0.500 0.250 Ru
0.000 0.500 0.750 Ru
0.500 0.000 0.250 Ru
0.500 0.000 0.750 Ru
```

***

ZrFeRu after structural relaxation. Source: Alexandria via LeMat-Bulk, functional PBE.

Properties
Density of states at the Fermi level, states/eV/cell: 6.1
Formation energy, eV per atom: -0.24
Space group: No. 63

```
ZrFeRu
1.0
3.241 0.000 0.000
0.000 13.605 0.000
0.000 0.000 4.341
Zr Fe Ru
4 4 4
direct
0.000 0.091 0.250 Zr
0.000 0.909 0.750 Zr
0.500 0.409 0.750 Zr
0.500 0.591 0.250 Zr
0.000 0.243 0.750 Fe
0.000 0.757 0.250 Fe
0.500 0.257 0.250 Fe
0.500 0.743 0.750 Fe
0.000 0.414 0.250 Ru
0.000 0.586 0.750 Ru
0.500 0.086 0.750 Ru
0.500 0.914 0.250 Ru
```

***

Zr2FeRu after structural relaxation. Source: Alexandria via LeMat-Bulk, functional PBE.

Properties
Density of states at the Fermi level, states/eV/cell: 4.8
Formation energy, eV per atom: -0.05
Space group: No. 99

```
Zr2FeRu
1.0
3.221 0.000 0.000
0.000 3.221 0.000
0.000 0.000 6.888
Zr Fe Ru
2 1 1
direct
0.000 0.000 0.000 Zr
0.500 0.500 0.315 Zr
0.000 0.000 0.567 Fe
0.500 0.500 0.766 Ru
```

***

Zr2FeRu after structural relaxation. Source: Alexandria via LeMat-Bulk, functional PBE.

Properties
Density of states at the Fermi level, states/eV/cell: 17.1
Formation energy, eV per atom: 0.19
Space group: No. 122

```
Zr2FeRu
1.0
7.084 0.000 0.000
0.000 7.084 0.000
0.000 0.000 5.770
Zr Fe Ru
8 4 4
direct
0.247 0.750 0.125 Zr
0.250 0.247 0.875 Zr
0.250 0.253 0.375 Zr
0.253 0.750 0.625 Zr
0.747 0.250 0.625 Zr
0.750 0.747 0.375 Zr
0.750 0.753 0.875 Zr
0.753 0.250 0.125 Zr
0.000 0.000 0.000 Fe
0.000 0.500 0.250 Fe
0.500 0.000 0.750 Fe
0.500 0.500 0.500 Fe
0.000 0.000 0.500 Ru
0.000 0.500 0.750 Ru
0.500 0.000 0.250 Ru
0.500 0.500 0.000 Ru
```

***

ZrFe4Ru after structural relaxation. Source: Alexandria via LeMat-Bulk, functional PBE.

Properties
Density of states at the Fermi level, states/eV/cell: 5.7
Formation energy, eV per atom: -0.12
Space group: No. 216

```
ZrFe4Ru
1.0
0.000 3.445 3.445
3.445 0.000 3.445
3.445 3.445 0.000
Zr Fe Ru
1 4 1
direct
0.000 0.000 0.000 Zr
0.127 0.624 0.624 Fe
0.624 0.127 0.624 Fe
0.624 0.624 0.127 Fe
0.624 0.624 0.624 Fe
0.250 0.250 0.250 Ru
```

***

ZrFeRu after structural relaxation. Source: Alexandria via LeMat-Bulk, functional PBE.

Properties
Density of states at the Fermi level, states/eV/cell: 21.4
Formation energy, eV per atom: 0.69
Space group: No. 216

```
ZrFeRu
1.0
6.086 0.000 0.000
0.000 6.086 0.000
0.000 0.000 6.086
Zr Fe Ru
4 4 4
direct
0.000 0.000 0.000 Zr
0.000 0.500 0.500 Zr
0.500 0.000 0.500 Zr
0.500 0.500 0.000 Zr
0.250 0.250 0.250 Fe
0.250 0.750 0.750 Fe
0.750 0.250 0.750 Fe
0.750 0.750 0.250 Fe
0.250 0.250 0.750 Ru
0.250 0.750 0.250 Ru
0.750 0.250 0.250 Ru
0.750 0.750 0.750 Ru
```

***

ZrFe2Ru after structural relaxation. Source: Alexandria via LeMat-Bulk, functional PBE.

Properties
Density of states at the Fermi level, states/eV/cell: 7.3
Formation energy, eV per atom: -0.02
Space group: No. 139

```
ZrFe2Ru
1.0
3.723 0.000 0.000
0.000 3.723 0.000
0.000 0.000 8.758
Zr Fe Ru
2 4 2
direct
0.000 0.000 0.000 Zr
0.500 0.500 0.500 Zr
0.000 0.500 0.250 Fe
0.000 0.500 0.750 Fe
0.500 0.000 0.250 Fe
0.500 0.000 0.750 Fe
0.000 0.000 0.500 Ru
0.500 0.500 0.000 Ru
```

***

ZrFe2Ru after structural relaxation. Source: Alexandria via LeMat-Bulk, functional PBE.

Properties
Density of states at the Fermi level, states/eV/cell: 2.7
Formation energy, eV per atom: -0.10
Space group: No. 47

```
ZrFe2Ru
1.0
3.234 0.000 0.000
0.000 4.262 0.000
0.000 0.000 4.304
Zr Fe Ru
1 2 1
direct
0.000 0.000 0.000 Zr
0.000 0.500 0.500 Fe
0.500 0.000 0.500 Fe
0.500 0.500 0.000 Ru
```

***

ZrFeRu4 after structural relaxation. Source: Alexandria via LeMat-Bulk, functional PBE.

Properties
Density of states at the Fermi level, states/eV/cell: 7.0
Formation energy, eV per atom: 0.09
Space group: No. 216

```
ZrFeRu4
1.0
0.000 3.626 3.626
3.626 0.000 3.626
3.626 3.626 0.000
Zr Fe Ru
1 1 4
direct
0.000 0.000 0.000 Zr
0.750 0.750 0.750 Fe
0.375 0.375 0.375 Ru
0.375 0.375 0.874 Ru
0.375 0.874 0.375 Ru
0.874 0.375 0.375 Ru
```

***

Zr2Fe2Ru after structural relaxation. Source: Alexandria via LeMat-Bulk, functional PBE.

Properties
Density of states at the Fermi level, states/eV/cell: 12.5
Formation energy, eV per atom: -0.12
Space group: No. 127

```
Zr2Fe2Ru
1.0
6.356 0.000 0.000
0.000 6.356 0.000
0.000 0.000 4.012
Zr Fe Ru
4 4 2
direct
0.183 0.317 0.000 Zr
0.317 0.817 0.000 Zr
0.683 0.183 0.000 Zr
0.817 0.683 0.000 Zr
0.119 0.619 0.500 Fe
0.381 0.119 0.500 Fe
0.619 0.881 0.500 Fe
0.881 0.381 0.500 Fe
0.000 0.000 0.500 Ru
0.500 0.500 0.500 Ru
```

***

ZrFe2Ru after structural relaxation. Source: Alexandria via LeMat-Bulk, functional PBE.

Properties
Density of states at the Fermi level, states/eV/cell: 3.5
Formation energy, eV per atom: 0.04
Space group: No. 6

```
ZrFe2Ru
1.0
2.832 0.000 0.000
0.000 4.140 0.000
-1.051 0.000 5.089
Zr Fe Ru
1 2 1
direct
0.000 0.000 0.000 Zr
0.507 0.000 0.491 Fe
0.714 0.500 0.278 Fe
0.253 0.500 0.726 Ru
```

***

| no. | theoretical density (g/cm3) |
| --- | --- |
| 1 | 9.0 |
| 2 | 9.0 |
| 3 | 8.6 |
| 4 | 7.9 |
| 5 | 7.8 |
| 6 | 8.4 |
| 7 | 7.3 |
| 8 | 8.3 |
| 9 | 8.5 |
| 10 | 9.6 |
| 11 | 8.1 |
| 12 | 8.5 |